# 1
## CrTcOs2 (GGA-PBE)

Data for CrTcOs2 after structural relaxation.

Calculated values
total magnetic moment: 0.00 μB/f.u.
E above lowest polymorph: 0.037 eV per atom
VASP energy: -10.502 eV/atom
theoretical density: 15.85 g/cm³

Cell and atoms, written as CIF:
```
data_CrTcOs2
_cell_length_a 2.7008
_cell_length_b 2.7008
_cell_length_c 26.3888
_cell_angle_alpha 90.00
_cell_angle_beta 90.00
_cell_angle_gamma 120.00
_symmetry_space_group_name_H-M 'R -3 m'
_symmetry_Int_Tables_number 166
_symmetry_space_group_name_Hall '-R 3 2"'
loop_
_atom_site_label
_atom_site_type_symbol
_atom_site_fract_x
_atom_site_fract_y
_atom_site_fract_z
_atom_site_occupancy
Cr1 Cr 0.0000 0.0000 0.0000 1
Tc1 Tc 0.0000 0.0000 0.5000 1
Os1 Os 0.0000 0.0000 0.2529 1
```

***

# 2
## CrTc2Os (GGA-PBE)

Data for CrTc2Os after structural relaxation.

Calculated values
total magnetic moment: 0.00 μB/f.u.
E above lowest polymorph: 0.017 eV per atom
VASP energy: -10.279 eV/atom
theoretical density: 13.03 g/cm³

Cell and atoms, written as CIF:
```
data_CrTc2Os
_cell_length_a 5.3909
_cell_length_b 7.6580
_cell_length_c 2.7066
_cell_angle_alpha 90.00
_cell_angle_beta 90.00
_cell_angle_gamma 90.00
_symmetry_space_group_name_H-M 'C m m m'
_symmetry_Int_Tables_number 65
_symmetry_space_group_name_Hall '-C 2 2'
loop_
_atom_site_label
_atom_site_type_symbol
_atom_site_fract_x
_atom_site_fract_y
_atom_site_fract_z
_atom_site_occupancy
Cr1 Cr 0.0000 0.0000 0.0000 1
Tc1 Tc 0.2500 0.2500 0.5000 1
Os1 Os 0.0000 0.5000 0.0000 1
```

***

# 3
## CrTc2Os (GGA-PBE)

Data for CrTc2Os after structural relaxation.

Calculated values
total magnetic moment: 0.00 μB/f.u.
E above lowest polymorph: 0.223 eV per atom
VASP energy: -10.073 eV/atom
theoretical density: 12.95 g/cm³

Cell and atoms, written as CIF:
```
data_CrTc2Os
_cell_length_a 2.9303
_cell_length_b 4.4467
_cell_length_c 8.6275
_cell_angle_alpha 90.00
_cell_angle_beta 90.00
_cell_angle_gamma 90.00
_symmetry_space_group_name_H-M 'C m m m'
_symmetry_Int_Tables_number 65
_symmetry_space_group_name_Hall '-C 2 2'
loop_
_atom_site_label
_atom_site_type_symbol
_atom_site_fract_x
_atom_site_fract_y
_atom_site_fract_z
_atom_site_occupancy
Cr1 Cr 0.0000 0.0000 0.0000 1
Tc1 Tc 0.0000 0.5000 0.2358 1
Os1 Os 0.0000 0.0000 0.5000 1
```

***

# 4
## CrTcOs2 (GGA-PBE)

Data for CrTcOs2 after structural relaxation.

Calculated values
total magnetic moment: 0.05 μB/f.u.
E above lowest polymorph: 0.334 eV per atom
VASP energy: -10.204 eV/atom
theoretical density: 15.63 g/cm³

Cell and atoms, written as CIF:
```
data_CrTcOs2
_cell_length_a 2.8314
_cell_length_b 4.4941
_cell_length_c 8.8601
_cell_angle_alpha 90.00
_cell_angle_beta 90.00
_cell_angle_gamma 90.00
_symmetry_space_group_name_H-M 'C m m m'
_symmetry_Int_Tables_number 65
_symmetry_space_group_name_Hall '-C 2 2'
loop_
_atom_site_label
_atom_site_type_symbol
_atom_site_fract_x
_atom_site_fract_y
_atom_site_fract_z
_atom_site_occupancy
Cr1 Cr 0.0000 0.0000 0.0000 1
Tc1 Tc 0.0000 0.0000 0.5000 1
Os1 Os 0.0000 0.5000 0.2380 1
```

***

| no. | V (Å³/f.u.) | DOS(E_F) (states/eV/atom) |
| --- | --- | --- |
| 1 | 55.57 | 1.05 |
| 2 | 55.87 | 0.96 |
| 3 | 56.21 | 1.29 |
| 4 | 56.37 | 1.25 |